This record from Alexandria via LeMat-Bulk describes a relaxed LiCaTi2P crystal. The functional is GGA-PBEsol.

Computed properties:
Calculated formation energy ... -93 meV per atom
DOS at the Fermi energy ... 6.87 states/eV/f.u.

Geometry as CIF:
```
data_LiCaTi2P
_chemical_formula_sum 'Li1 Ca1 Ti2 P1'
_symmetry_space_group_name_H-M 'P 4/m m m'
_symmetry_Int_Tables_number 123
_symmetry_space_group_name_Hall '-P 4 2'
_cell_length_a 4.6909
_cell_length_b 4.6909
_cell_length_c 4.7089
_cell_angle_alpha 90.00
_cell_angle_beta 90.00
_cell_angle_gamma 90.00
loop_
_atom_site_label
_atom_site_fract_x
_atom_site_fract_y
_atom_site_fract_z
_atom_site_occupancy
Li1 0.0000 0.0000 0.0000 1
Ca1 0.5000 0.5000 0.0000 1
Ti1 0.0000 0.5000 0.5000 1
P1 0.0000 0.0000 0.5000 1
```